No. 1
Entry from Alexandria via LeMat-Bulk: crystalline Na2HF at its relaxed geometry (PBE).

Cell: 5.8052 5.8052 5.8052 Å, 90.00 90.00 90.00°
With the nearest neighbours (Å) after each atom.
Space group Fm-3m (No. 225)
Inequivalent atoms, fractional coordinates:
Na 0.2500 0.2500 0.2500  4 H 2.51, 4 F 2.51
H 0.0000 0.0000 0.0000  8 Na 2.51
F 0.0000 0.0000 0.5000  8 Na 2.51

Properties
Total moment ... 0.0000 μB per atom
Raw total energy ... -13.101 eV per formula unit
ΔE to the lowest computed polymorph ... 0.154 eV/atom



No. 2
Entry from Alexandria via LeMat-Bulk: crystalline NaHF2 at its relaxed geometry (PBE).

Cell: 5.2779 5.2779 5.2779 Å, 90.00 90.00 90.00°
With the nearest neighbours (Å) after each atom.
Space group Fm-3m (No. 225)
Inequivalent atoms, fractional coordinates:
Na 0.0000 0.0000 0.0000  8 F 2.29
H 0.0000 0.0000 0.5000  8 F 2.29
F 0.2500 0.2500 0.2500  4 H 2.29, 4 Na 2.29

Properties
Total moment ... 0.0000 μB per atom
Raw total energy ... -12.626 eV per formula unit
ΔE to the lowest computed polymorph ... 1.220 eV/atom



No. 3
Entry from Alexandria via LeMat-Bulk: crystalline Na3H2F4 at its relaxed geometry (PBE).

Cell: 10.6306 9.8108 6.3466 Å, 90.00 121.81 90.00°
With the nearest neighbours (Å) after each atom.
Space group C2/c (No. 15)
Inequivalent atoms, fractional coordinates:
Na 0.0000 0.0495 0.2500  4 F 2.31-2.36
Na 0.0993 0.3523 0.6121  4 F 2.34-2.40
H 0.2480 0.0975 0.8356  2 F 1.14-1.17
F 0.1258 0.1144 0.6714  1 H 1.17
F 0.1371 0.4254 0.9979  1 H 1.14

Properties
Total moment ... 0.0000 μB per atom
Raw total energy ... -35.366 eV per formula unit



No. 4
Entry from Alexandria via LeMat-Bulk: crystalline NaHF2 at its relaxed geometry (PBE).

Cell: 3.4780 3.4780 13.9738 Å, 90.00 90.00 120.00°
With the nearest neighbours (Å) after each atom.
Space group R-3m (No. 166, hexagonal axes)
Inequivalent atoms, fractional coordinates:
Na 0.0000 0.0000 0.0000  6 F 2.33
H 0.0000 0.0000 0.5000  2 F 1.15
F 0.0000 0.0000 0.4178  1 H 1.15

Properties
Total moment ... 0.0000 μB per atom
Raw total energy ... -17.507 eV per formula unit
ΔE to the lowest computed polymorph ... 0.000 eV/atom



No. 5
Entry from Alexandria via LeMat-Bulk: crystalline Na2HF at its relaxed geometry (PBE).

Cell: 3.2920 3.2920 17.2225 Å, 90.00 90.00 120.00°
With the nearest neighbours (Å) after each atom.
Space group R3m (No. 160, hexagonal axes)
Inequivalent atoms, fractional coordinates:
Na 0.0000 0.0000 0.0000  3 H 2.40, 3 F 2.40
Na 0.0000 0.0000 0.1671  3 H 2.36, 3 F 2.37
H 0.0000 0.0000 0.5819  6 Na 2.36-2.40
F 0.0000 0.0000 0.7515  6 Na 2.37-2.40

Properties
Total moment ... 0.0000 μB per atom
Raw total energy ... -13.536 eV per formula unit
ΔE to the lowest computed polymorph ... 0.045 eV/atom



No. 6
Entry from Alexandria via LeMat-Bulk: crystalline NaH3F3 at its relaxed geometry (PBE).

Cell: 6.2929 6.2929 13.1888 Å, 90.00 90.00 120.00°
With the nearest neighbours (Å) after each atom.
Space group R-3 (No. 148, hexagonal axes)
Inequivalent atoms, fractional coordinates:
Na 0.0000 0.0000 0.1693  6 F 2.37-2.38
H 0.0025 0.1688 0.5512  1 F 1.04
F 0.0044 0.3242 0.5795  1 H 1.04

Properties
Total moment ... 0.0000 μB per atom
Raw total energy ... -27.176 eV per formula unit



No. 7
Entry from Alexandria via LeMat-Bulk: crystalline Na6HF5 at its relaxed geometry (PBE).

Cell: 5.7712 9.9949 5.7717 Å, 90.00 109.50 90.00°
With the nearest neighbours (Å) after each atom.
Space group C2/m (No. 12)
Inequivalent atoms, fractional coordinates:
Na 0.2479 0.0000 0.2522  5 F 2.34-2.36, 1 H 2.38
Na 0.2485 0.1680 0.7493  5 F 2.34-2.36, 1 H 2.37
H 0.0000 0.5000 0.0000  6 Na 2.37-2.38
F 0.0000 0.0000 0.5000  6 Na 2.34-2.36
F 0.0000 0.1665 0.0000  6 Na 2.35
F 0.0000 0.3332 0.5000  6 Na 2.34-2.36

Properties
Total moment ... 0.0042 μB per atom
Raw total energy ... -48.309 eV per formula unit